## LiLaGdSc (PBE)

Data for a geometry-optimized LiLaGdSc structure.

a = 7.7259 Å, b = 7.7259 Å, c = 7.7259 Å
α = 90.00°, β = 90.00°, γ = 90.00°
Space group F-43m (No. 216)
Unique sites:
Li 0.0000 0.0000 0.0000 (multiplicity 4)
La 0.2500 0.2500 0.7500 (multiplicity 4)
Gd 0.2500 0.2500 0.2500 (multiplicity 4)
Sc 0.0000 0.0000 0.5000 (multiplicity 4)

DFT total energy = -6.669 eV per atom